No. 1
# BeZnCdCoP GGA-PBE relaxed
data_BeZnCdCoP
_space_group_name_H-M_alt 'C 1 m 1'
_space_group_IT_number 8
_space_group_name_Hall 'C -2y'
_cell_length_a 7.0002
_cell_length_b 3.3637
_cell_length_c 6.8657
_cell_angle_alpha 90.00
_cell_angle_beta 107.90
_cell_angle_gamma 90.00
loop_
_atom_site_label
_atom_site_type_symbol
_atom_site_fract_x
_atom_site_fract_y
_atom_site_fract_z
Be1 Be 0.0000 0.0000 0.0000
Zn1 Zn 0.2072 0.0000 0.5369
Cd1 Cd 0.3107 0.5000 0.2625
Co1 Co 0.2729 0.0000 0.9074
P1 P 0.0576 0.5000 0.8319
# - electronic total energy (eV/atom) = -3.741
# - calculated formation energy (eV/atom) = -0.055
# - magnetic moment (μB/f.u.) = 0.000
# - N(E_F) (states/eV per atom) = 0.321
# - energy above the lowest structure with this stoichiometry (kcal/mol of atoms) = 1.54

=====

No. 2
# BeZnCdCoP GGA-PBE relaxed
data_BeZnCdCoP
_space_group_name_H-M_alt 'P 3 m 1'
_space_group_IT_number 156
_space_group_name_Hall 'P 3 -2"'
_cell_length_a 3.7464
_cell_length_b 3.7464
_cell_length_c 5.9077
_cell_angle_alpha 90.00
_cell_angle_beta 90.00
_cell_angle_gamma 120.00
loop_
_atom_site_label
_atom_site_type_symbol
_atom_site_fract_x
_atom_site_fract_y
_atom_site_fract_z
Be1 Be 0.0000 0.0000 0.0000
Zn1 Zn 0.0000 0.0000 0.4325
Cd1 Cd 0.3333 0.6667 0.7092
Co1 Co 0.3333 0.6667 0.1610
P1 P 0.6667 0.3333 0.1554
# - electronic total energy (eV/atom) = -3.782
# - calculated formation energy (eV/atom) = -0.096
# - magnetic moment (μB/f.u.) = 0.000
# - N(E_F) (states/eV per atom) = 0.283
# - energy above the lowest structure with this stoichiometry (kcal/mol of atoms) = 0.59

=====

No. 3
# ScBeCdCo2 GGA-PBE relaxed
data_ScBeCdCo2
_space_group_name_H-M_alt 'P 4/m m m'
_space_group_IT_number 123
_space_group_name_Hall '-P 4 2'
_cell_length_a 4.7105
_cell_length_b 4.7105
_cell_length_c 4.2276
_cell_angle_alpha 90.00
_cell_angle_beta 90.00
_cell_angle_gamma 90.00
loop_
_atom_site_label
_atom_site_type_symbol
_atom_site_fract_x
_atom_site_fract_y
_atom_site_fract_z
Sc1 Sc 0.0000 0.0000 0.0000
Be1 Be 0.5000 0.5000 0.0000
Cd1 Cd 0.5000 0.5000 0.5000
Co1 Co 0.0000 0.5000 0.5000
# - electronic total energy (eV/atom) = -4.006
# - calculated formation energy (eV/atom) = 1.030
# - magnetic moment (μB/f.u.) = 2.454
# - N(E_F) (states/eV per atom) = 1.950

=====

No. 4
# BeCd2CoSi GGA-PBE relaxed
data_BeCd2CoSi
_space_group_name_H-M_alt 'P 4/m m m'
_space_group_IT_number 123
_space_group_name_Hall '-P 4 2'
_cell_length_a 4.7205
_cell_length_b 4.7205
_cell_length_c 4.0398
_cell_angle_alpha 90.00
_cell_angle_beta 90.00
_cell_angle_gamma 90.00
loop_
_atom_site_label
_atom_site_type_symbol
_atom_site_fract_x
_atom_site_fract_y
_atom_site_fract_z
Be1 Be 0.0000 0.0000 0.0000
Cd1 Cd 0.0000 0.5000 0.0000
Co1 Co 0.5000 0.5000 0.5000
Si1 Si 0.0000 0.0000 0.5000
# - electronic total energy (eV/atom) = -2.803
# - magnetic moment (μB/f.u.) = 1.543
# - N(E_F) (states/eV per atom) = 0.997
# - uncorrected formation energy (eV per formula unit) = 4.070

=====

No. 5
# BeCrCd2 GGA-PBE relaxed
data_BeCrCd2
_space_group_name_H-M_alt 'P 4/m m m'
_space_group_IT_number 123
_space_group_name_Hall '-P 4 2'
_cell_length_a 4.1220
_cell_length_b 4.1220
_cell_length_c 3.9340
_cell_angle_alpha 90.00
_cell_angle_beta 90.00
_cell_angle_gamma 90.00
loop_
_atom_site_label
_atom_site_type_symbol
_atom_site_fract_x
_atom_site_fract_y
_atom_site_fract_z
Be1 Be 0.0000 0.0000 0.0000
Cr1 Cr 0.5000 0.5000 0.0000
Cd1 Cd 0.0000 0.5000 0.5000
# - electronic total energy (eV/atom) = -3.332
# - calculated formation energy (eV/atom) = 0.463
# - magnetic moment (μB/f.u.) = 3.299
# - N(E_F) (states/eV per atom) = 0.611

=====

No. 6
# Be2CrCd GGA-PBE relaxed
data_Be2CrCd
_space_group_name_H-M_alt 'P 4 m m'
_space_group_IT_number 99
_space_group_name_Hall 'P 4 -2'
_cell_length_a 2.7252
_cell_length_b 2.7252
_cell_length_c 6.4931
_cell_angle_alpha 90.00
_cell_angle_beta 90.00
_cell_angle_gamma 90.00
loop_
_atom_site_label
_atom_site_type_symbol
_atom_site_fract_x
_atom_site_fract_y
_atom_site_fract_z
Be1 Be 0.0000 0.0000 0.0000
Be2 Be 0.5000 0.5000 0.1615
Cr1 Cr 0.5000 0.5000 0.7814
Cd1 Cd 0.0000 0.0000 0.4519
# - electronic total energy (eV/atom) = -4.126
# - calculated formation energy (eV/atom) = 0.372
# - magnetic moment (μB/f.u.) = 0.404
# - N(E_F) (states/eV per atom) = 0.658

=====

The highest magnetic moment belongs to which entry? BeCrCd2